This record from Alexandria via LeMat-Bulk describes a geometry-optimized Pm2CrAg2O6 structure. The functional is GGA+U.

It has space group C2/m (No. 12), with a = 5.8725 Å, b = 10.4340 Å, c = 6.3838 Å, α = 90.00°, β = 100.37° and γ = 90.00°. The inequivalent atoms are Pm at (0.0000, 0.1632, 0.0000), Cr at (0.0000, 0.5000, 0.0000), Ag at (0.0000, 0.3559, 0.5000), O at (0.1055, 0.3524, 0.8303) and O at (0.1886, 0.0000, 0.8513).

Its total energy is -146.8 eV per cell. The calculation puts the total moment at 3.95 μB/cell.